(1)
VASP calculation (GGA+U) on a geometry-optimized PdWN2F structure.

The space group is P4/mmm (No. 123) and the conventional cell measures 4.001, 4.001 and 4.062 Å, with angles of 90.00, 90.00 and 90.00 degrees. The inequivalent atoms are Pd at (0.000, 0.000, 0.000), W at (0.500, 0.500, 0.500), N at (0.000, 0.500, 0.500) and F at (0.500, 0.500, 0.000).

For the total energy, the calculation gives -6.039 eV/atom.


(2)
VASP calculation (GGA+U) on a geometry-optimized PdWNF2 structure.

The space group is P4/mmm (No. 123) and the conventional cell measures 4.195, 4.195 and 3.996 Å, with angles of 90.00, 90.00 and 90.00 degrees. The inequivalent atoms are Pd at (0.000, 0.000, 0.000), W at (0.500, 0.500, 0.500), N at (0.500, 0.500, 0.000) and F at (0.000, 0.500, 0.500).

For the total energy, the calculation gives -5.527 eV/atom.


(3)
VASP calculation (GGA+U) on a geometry-optimized PdWNF2 structure.

The space group is P4/mmm (No. 123) and the conventional cell measures 4.259, 4.259 and 3.973 Å, with angles of 90.00, 90.00 and 90.00 degrees. The inequivalent atoms are Pd at (0.000, 0.000, 0.000), W at (0.500, 0.500, 0.500), N at (0.000, 0.000, 0.500) and F at (0.000, 0.500, 0.000).

For the total energy, the calculation gives -4.610 eV/atom.


(4)
VASP calculation (GGA+U) on a geometry-optimized PdWN2F structure.

The space group is P4/mmm (No. 123) and the conventional cell measures 4.058, 4.058 and 3.906 Å, with angles of 90.00, 90.00 and 90.00 degrees. The inequivalent atoms are Pd at (0.000, 0.000, 0.000), W at (0.500, 0.500, 0.500), N at (0.000, 0.500, 0.000) and F at (0.000, 0.000, 0.500).

For the total energy, the calculation gives -5.067 eV/atom.